! Pm3MgCd12 GGA-PBE relaxed; values from VASP
&SYSTEM
  ibrav = 0, nat = 16, ntyp = 3
/
ATOMIC_SPECIES
Pm 145.00 Pm.upf
Cd 112.41 Cd.upf
Mg 24.30 Mg.upf
CELL_PARAMETERS angstrom
4.674 0.000 0.000
0.000 4.674 0.000
0.000 0.000 17.929
ATOMIC_POSITIONS angstrom
Pm 0.000 0.000 8.965
Cd 2.337 2.337 4.231
Cd 2.337 0.000 2.008
Cd 2.337 0.000 6.624
Cd 2.337 0.000 11.305
Cd 0.000 2.337 15.921
Mg 0.000 0.000 0.000
Cd 0.000 2.337 11.305
Cd 0.000 2.337 2.008
Pm 0.000 0.000 4.236
Cd 0.000 2.337 6.624
Cd 2.337 0.000 15.921
Cd 2.337 2.337 13.698
Pm 0.000 0.000 13.693
Cd 2.337 2.337 0.000
Cd 2.337 2.337 8.965
! ΔE_f   -226 meV/atom
! Total DFT energy (no corrections)   -1.90 eV/atom
! Spin magnetization   0.00 μB/f.u.
! Density of states at the Fermi level   0.578 states/eV per atom